1.
4
Lattice="0.0000 3.8685 3.8685 3.8685 0.0000 3.8685 3.8685 3.8685 0.0000" Properties=species:S:1:pos:R:3 comment="Pr2TmAl PBE optimized geometry" dos_ef_per_ev_cell=6.35 ef_kj_per_mol_atoms=-7 total_energy_ev_per_atom=-4.51 pbc="T T T"
Pr 1.9342 1.9342 1.9342
Pr 5.8027 5.8027 5.8027
Tm 0.0000 0.0000 0.0000
Al 3.8685 3.8685 3.8685

2.
11
Lattice="9.8177 -2.6226 0.0000 9.8177 2.6226 0.0000 -1.6897 0.0000 6.8697" Properties=species:S:1:pos:R:3 comment="Pr8Tl2Pd PBE optimized geometry" dos_ef_per_ev_cell=12.02 ef_kj_per_mol_atoms=-24 total_energy_ev_per_atom=-4.63 pbc="T T T"
Pr -0.1586 0.0000 1.8990
Pr 2.7311 0.0000 5.5999
Pr 6.0132 0.0000 3.5162
Pr 7.9770 0.0000 0.2419
Pr 9.9688 0.0000 6.6278
Pr 11.9325 0.0000 3.3535
Pr 15.2146 0.0000 1.2699
Pr 18.1044 0.0000 4.9707
Tl 3.1653 0.0000 1.7485
Tl 14.7804 0.0000 5.1212
Pd 8.9729 0.0000 3.4349

3.
12
Lattice="3.2620 1.8833 10.8118 -3.2620 1.8833 10.8118 0.0000 -3.7666 10.8118" Properties=species:S:1:pos:R:3 comment="Na3Tl7Pb2 PBE optimized geometry" dos_ef_per_ev_cell=7.65 ef_kj_per_mol_atoms=0 total_energy_ev_per_atom=-2.33 pbc="T T T"
Na 0.0000 0.0000 0.0000
Na 0.0000 0.0000 4.5010
Na 0.0000 0.0000 27.9345
Tl -1.6666 -0.9622 13.6082
Tl 0.0000 -1.9244 18.8273
Tl -1.6666 0.9622 18.8273
Tl 0.0000 0.0000 16.2177
Tl 1.6666 -0.9622 13.6082
Tl 0.0000 1.9244 13.6082
Tl 1.6666 0.9622 18.8272
Pb 0.0000 0.0000 10.8949
Pb 0.0000 0.0000 21.5406

4.
18
Lattice="9.6150 0.0000 0.0000 -4.8075 8.3268 0.0000 0.0000 0.0000 6.9432" Properties=species:S:1:pos:R:3 comment="La5MgHg3 PBE optimized geometry" dos_ef_per_ev_cell=21.34 ef_kj_per_mol_atoms=-30 total_energy_ev_per_atom=-3.33 pbc="T T T"
La -1.4949 2.5892 1.7358
La -3.3126 5.7376 5.2074
La 2.9897 0.0000 1.7358
La 1.4949 2.5892 5.2074
La 0.0000 5.5512 0.0000
La 0.0000 5.5512 3.4716
La 4.8075 2.7756 0.0000
La 4.8075 2.7756 3.4716
La 6.6252 0.0000 5.2074
La 3.3126 5.7376 1.7358
Mg 0.0000 0.0000 0.0000
Mg 0.0000 0.0000 3.4716
Hg -1.6836 2.9161 5.2074
Hg -3.1239 5.4107 1.7358
Hg 3.3672 0.0000 5.2074
Hg 1.6836 2.9161 1.7358
Hg 6.2477 0.0000 1.7358
Hg 3.1239 5.4107 5.2074

5.
32
Lattice="6.0836 0.0000 0.0000 0.0000 7.7576 0.0000 0.0000 0.0000 9.8108" Properties=species:S:1:pos:R:3 comment="CaAgAsO5 PBE optimized geometry" total_energy_ev_per_atom=-5.62 pbc="T T T"
Ca 0.1041 1.5082 3.3152
Ca 2.9377 6.2494 8.2207
Ca 3.1459 2.3706 6.4956
Ca 5.9794 5.3870 1.5902
Ag 1.4645 1.9440 9.7957
Ag 1.5773 5.8136 4.8903
Ag 4.5063 1.9348 0.0151
Ag 4.6191 5.8228 4.9205
As 0.2889 0.7543 6.5708
As 2.7529 7.0032 1.6654
As 3.3307 3.1245 3.2400
As 5.7946 4.6331 8.1454
O 0.0573 4.9141 3.9503
O 0.0532 7.2623 5.2754
O 0.8885 2.0121 5.5731
O 1.2316 4.8532 7.4248
O 1.4904 7.3858 2.7480
O 1.5513 0.3717 7.6534
O 1.8102 2.9043 2.5194
O 2.1533 5.7454 0.6677
O 2.9885 0.4953 0.3699
O 2.9844 2.8434 8.8557
O 3.0950 4.3741 4.5355
O 3.0991 6.7222 5.8605
O 3.9303 1.8666 4.2377
O 4.2734 6.7831 2.3860
O 4.5322 4.2505 7.0628
O 4.5931 3.5070 2.1574
O 4.8519 0.9744 7.2915
O 5.1950 5.8909 9.1431
O 6.0262 1.0353 0.9551
O 6.0303 3.3835 9.4409

6.
20
Lattice="12.4138 0.0000 0.0000 0.0000 4.3244 0.0000 -4.2236 0.0000 11.9562" Properties=species:S:1:pos:R:3 comment="Tm3NpTe6 PBE optimized geometry" dos_ef_per_ev_cell=13.92 total_energy_ev_per_atom=-5.68 pbc="T T T"
Tm 0.1249 1.0811 1.9649
Tm 0.1423 3.2433 6.0002
Tm 0.4089 1.0811 11.0028
Tm 7.7813 3.2433 0.9534
Tm 8.0479 1.0811 5.9560
Tm 8.0652 3.2433 9.9913
Np 4.3327 1.0811 3.6423
Np 3.8575 3.2433 8.3139
Te -1.3952 1.0811 4.5713
Te -2.6190 1.0811 11.2251
Te 1.8548 3.2433 3.3259
Te 0.6203 3.2433 8.9719
Te 2.5136 1.0811 6.3976
Te 4.7480 3.2433 1.1916
Te 3.4421 1.0811 10.7646
Te 5.6766 3.2433 5.5586
Te 7.5699 1.0811 2.9843
Te 6.3354 1.0811 8.6303
Te 10.8092 3.2433 0.7311
Te 9.5854 3.2433 7.3850